The following is a DFT calculation (PBE-GGA) of a relaxed structure of Sm2Al9Rh3.

## Properties
Final energy   -153.60 eV per cell
Magnetic moment   0.00 μB per cell
Density of states at the Fermi level   0.45 states/eV/atom
Formation enthalpy at 0 K   -830 meV/atom

Lattice parameters (Å, degrees): 7.5837 7.5837 9.5599 90.00 90.00 119.32
Closest atoms and distances in Å follow each position.
Positions (direct):
Sm  0.9953  0.6718  0.2500  11 Al 3.07-3.18, 2 Rh 3.44
Sm  0.0047  0.3282  0.7500  11 Al 3.07-3.18, 2 Rh 3.44
Sm  0.6718  0.9953  0.2500  11 Al 3.07-3.18, 2 Rh 3.44
Sm  0.3282  0.0047  0.7500  11 Al 3.07-3.18, 2 Rh 3.44
Al  0.1301  0.1301  0.2500  2 Rh 2.59, 6 Al 2.77
Al  0.8699  0.8699  0.7500  2 Rh 2.59, 6 Al 2.77
Al  0.0021  0.3357  0.0742  3 Rh 2.58-2.64, 4 Al 2.77-2.88
Al  0.9979  0.6643  0.9258  3 Rh 2.58-2.64, 4 Al 2.77-2.88
Al  0.9979  0.6643  0.5742  3 Rh 2.58-2.64, 4 Al 2.77-2.88
Al  0.3357  0.0021  0.4258  3 Rh 2.58-2.64, 4 Al 2.77-2.88
Al  0.0021  0.3357  0.4258  3 Rh 2.58-2.64, 4 Al 2.77-2.88
Al  0.6643  0.9979  0.5742  3 Rh 2.58-2.64, 4 Al 2.77-2.88
Al  0.6643  0.9979  0.9258  3 Rh 2.58-2.64, 4 Al 2.77-2.88
Al  0.3357  0.0021  0.0742  3 Rh 2.58-2.64, 4 Al 2.77-2.88
Al  0.3335  0.3335  0.5474  3 Rh 2.60-2.62, 3 Al 2.71-2.78
Al  0.6665  0.6665  0.4526  3 Rh 2.60-2.62, 3 Al 2.71-2.78
Al  0.6665  0.6665  0.0474  3 Rh 2.60-2.62, 3 Al 2.71-2.78
Al  0.3335  0.3335  0.9526  3 Rh 2.60-2.62, 3 Al 2.71-2.78
Al  0.3402  0.5491  0.2500  2 Rh 2.58, 4 Al 2.73-2.82
Al  0.6598  0.4509  0.7500  2 Rh 2.58, 4 Al 2.73-2.82
Al  0.5491  0.3402  0.2500  2 Rh 2.58, 4 Al 2.73-2.82
Al  0.4509  0.6598  0.7500  2 Rh 2.58, 4 Al 2.73-2.82
Rh  0.6714  0.3286  0.0000  8 Al 2.58-2.63
Rh  0.3286  0.6714  0.0000  8 Al 2.58-2.63
Rh  0.3286  0.6714  0.5000  8 Al 2.58-2.63
Rh  0.6714  0.3286  0.5000  8 Al 2.58-2.63
Rh  0.0000  0.0000  0.0000  8 Al 2.59-2.64
Rh  0.0000  0.0000  0.5000  8 Al 2.59-2.64

---

The following is a DFT calculation (PBE-GGA) of a relaxed structure of SmAlRh2.

## Properties
Final energy   -26.26 eV per cell
Magnetic moment   0.00 μB per cell
Density of states at the Fermi level   0.37 states/eV/atom
Formation enthalpy at 0 K   -773 meV/atom

Lattice parameters (Å, degrees): 3.1711 3.1711 6.8617 90.00 90.00 90.00
Closest atoms and distances in Å follow each position.
Positions (direct):
Rh  0.0000  0.0000  0.7932  4 Al 2.65, 1 Rh 2.84
Rh  0.0000  0.0000  0.2068  4 Al 2.65, 1 Rh 2.84
Al  0.5000  0.5000  0.0000  8 Rh 2.65
Sm  0.5000  0.5000  0.5000  8 Rh 3.01, 4 Sm 3.17

---

The following is a DFT calculation (PBE-GGA) of a relaxed structure of Sm3AlRh3.

## Properties
Final energy   -91.30 eV per cell
Magnetic moment   0.00 μB per cell
Density of states at the Fermi level   0.63 states/eV/atom
Formation enthalpy at 0 K   -814 meV/atom

Lattice parameters (Å, degrees): 4.0906 5.6931 13.9135 90.00 90.00 111.05
Closest atoms and distances in Å follow each position.
Positions (direct):
Sm  0.2046  0.4091  0.8933  6 Rh 2.91-3.09
Sm  0.7954  0.5909  0.1067  6 Rh 2.91-3.09
Sm  0.2046  0.4091  0.6067  6 Rh 2.91-3.09
Sm  0.7954  0.5909  0.3933  6 Rh 2.91-3.09
Sm  0.4803  0.9606  0.7500  7 Rh 2.96-3.12
Sm  0.5197  0.0394  0.2500  7 Rh 2.96-3.12
Al  0.5000  0.0000  0.0000  4 Rh 2.52
Al  0.5000  0.0000  0.5000  4 Rh 2.52
Rh  0.9208  0.8415  0.9126  2 Al 2.52
Rh  0.0792  0.1585  0.0874  2 Al 2.52
Rh  0.9208  0.8415  0.5874  2 Al 2.52
Rh  0.0792  0.1585  0.4126  2 Al 2.52
Rh  0.7588  0.5176  0.7500  2 Rh 2.84, 7 Sm 2.91-3.12
Rh  0.2412  0.4824  0.2500  2 Rh 2.84, 7 Sm 2.91-3.12

---

The following is a DFT calculation (PBE-GGA) of a relaxed structure of SmAlRh2.

## Properties
Final energy   -26.21 eV per cell
Magnetic moment   0.00 μB per cell
Density of states at the Fermi level   0.17 states/eV/atom
Formation enthalpy at 0 K   -762 meV/atom

Lattice parameters (Å, degrees): 3.4653 4.4889 4.4889 90.00 90.00 90.00
Closest atoms and distances in Å follow each position.
Positions (direct):
Rh  0.0000  0.0000  0.5000  4 Al 2.84, 4 Sm 2.84, 4 Rh 3.17
Rh  0.0000  0.5000  0.0000  4 Sm 2.84, 4 Al 2.84, 4 Rh 3.17
Al  0.5000  0.0000  0.0000  8 Rh 2.84, 4 Sm 3.17
Sm  0.5000  0.5000  0.5000  8 Rh 2.84, 4 Al 3.17

---

The following is a DFT calculation (PBE-GGA) of a relaxed structure of SmAl3Rh2.

## Properties
Final energy   -71.56 eV per cell
Magnetic moment   0.00 μB per cell
Density of states at the Fermi level   0.48 states/eV/atom
Formation enthalpy at 0 K   -855 meV/atom

Lattice parameters (Å, degrees): 5.6397 6.2342 6.2342 100.39 90.00 90.00
Closest atoms and distances in Å follow each position.
Positions (direct):
Sm  0.2500  0.3583  0.3583  9 Al 3.09-3.38, 4 Rh 3.27
Sm  0.7500  0.6417  0.6417  9 Al 3.09-3.38, 4 Rh 3.27
Al  0.7500  0.4572  0.0981  4 Rh 2.48-2.65, 1 Al 2.62
Al  0.7500  0.0981  0.4572  4 Rh 2.48-2.65, 1 Al 2.62
Al  0.2500  0.5428  0.9019  4 Rh 2.48-2.65, 1 Al 2.62
Al  0.7500  0.0292  0.0292  4 Rh 2.51, 2 Al 2.62
Al  0.2500  0.9708  0.9708  4 Rh 2.51, 2 Al 2.62
Al  0.2500  0.9019  0.5428  4 Rh 2.48-2.65, 1 Al 2.62
Rh  0.5000  0.7845  0.2155  6 Al 2.48-2.65
Rh  0.0000  0.7845  0.2155  6 Al 2.48-2.65
Rh  0.0000  0.2155  0.7845  6 Al 2.48-2.65
Rh  0.5000  0.2155  0.7845  6 Al 2.48-2.65

---

The following is a DFT calculation (PBE-GGA) of a relaxed structure of Sm2Al9Rh3.

## Properties
Final energy   -153.55 eV per cell
Magnetic moment   0.00 μB per cell
Density of states at the Fermi level   0.44 states/eV/atom
Formation enthalpy at 0 K   -829 meV/atom

Lattice parameters (Å, degrees): 7.6219 7.6219 10.5323 89.92 111.03 120.39
Closest atoms and distances in Å follow each position.
Positions (direct):
Sm  0.3366  0.2477  0.7503  11 Al 3.06-3.16
Sm  0.6634  0.7523  0.2497  11 Al 3.06-3.16
Sm  0.9974  0.5863  0.7497  11 Al 3.06-3.16
Sm  0.0026  0.4137  0.2503  11 Al 3.06-3.16
Al  0.4606  0.9198  0.7476  2 Rh 2.58-2.60, 5 Al 2.75-2.81
Al  0.5394  0.0802  0.2524  2 Rh 2.58-2.60, 5 Al 2.75-2.81
Al  0.6722  0.7130  0.7524  2 Rh 2.58-2.60, 5 Al 2.75-2.81
Al  0.3278  0.2870  0.2476  2 Rh 2.58-2.60, 5 Al 2.75-2.81
Al  0.4514  0.6433  0.9263  3 Rh 2.58-2.63, 3 Al 2.78-2.81
Al  0.5486  0.3567  0.0737  3 Rh 2.58-2.63, 3 Al 2.78-2.81
Al  0.2170  0.5251  0.5737  3 Rh 2.58-2.63, 3 Al 2.78-2.81
Al  0.7830  0.4749  0.4263  3 Rh 2.58-2.63, 3 Al 2.78-2.81
Al  0.8799  0.1299  0.7500  2 Rh 2.59, 4 Al 2.75-2.80
Al  0.1201  0.8701  0.2500  2 Rh 2.59, 4 Al 2.75-2.80
Al  0.1335  0.9849  0.9495  3 Rh 2.59-2.63, 4 Al 2.71-2.89
Al  0.8665  0.0151  0.0505  3 Rh 2.59-2.63, 4 Al 2.71-2.89
Al  0.5354  0.1841  0.5505  3 Rh 2.59-2.63, 4 Al 2.71-2.89
Al  0.4646  0.8159  0.4495  3 Rh 2.59-2.63, 4 Al 2.71-2.89
Al  0.8782  0.8583  0.5707  3 Rh 2.60-2.62, 5 Al 2.78-2.91
Al  0.1218  0.1417  0.4293  3 Rh 2.60-2.62, 5 Al 2.78-2.91
Al  0.7876  0.3075  0.9293  3 Rh 2.60-2.62, 5 Al 2.78-2.91
Al  0.2124  0.6925  0.0707  3 Rh 2.60-2.62, 5 Al 2.78-2.91
Rh  0.5000  0.0000  0.0000  8 Al 2.59-2.63
Rh  0.5000  0.5000  0.5000  8 Al 2.59-2.63
Rh  0.8416  0.1713  0.4992  8 Al 2.58-2.63
Rh  0.1584  0.8287  0.5008  8 Al 2.58-2.63
Rh  0.1721  0.3424  0.0008  8 Al 2.58-2.63
Rh  0.8279  0.6576  0.9992  8 Al 2.58-2.63